1.
This record from the Alexandria database describes an optimized crystal structure of In2FeICl. The functional is PBE-GGA.

The structure in extended XYZ format:
```
5
Lattice="5.479 0.000 0.000 0.000 5.479 0.000 0.000 0.000 4.478" Properties=species:S:1:pos:R:3 pbc="T T T"
In 0.000 2.739 0.000
In 2.739 0.000 0.000
Fe 0.000 0.000 0.000
I 2.739 2.739 2.239
Cl 0.000 0.000 2.239
```

space group: P4/mmm
final energy: -3.611 eV per atom



2.
This record from the Alexandria database describes an optimized crystal structure of K2FeI2Cl2. The functional is PBE-GGA.

The structure in extended XYZ format:
```
7
Lattice="7.481 -2.233 0.000 7.481 2.233 0.000 -4.086 0.000 7.021" Properties=species:S:1:pos:R:3 pbc="T T T"
K 1.679 0.000 1.358
K 9.197 0.000 5.663
Fe -2.043 0.000 3.511
I 6.005 0.000 1.569
I 4.871 0.000 5.452
Cl 0.182 0.000 4.166
Cl 10.694 0.000 2.855
```

space group: C2/m
final energy: -3.613 eV per atom



Q: The lowest final energy belongs to which entry?
A: K2FeI2Cl2



Q: Which of these has the lowest final energy?
A: K2FeI2Cl2



Q: Which value of final energy does entry 1 give?
A: -3.611 eV per atom



Q: Among the records above, which one has the highest final energy?
A: In2FeICl